# 1
Here is OsW after structural relaxation from the Alexandria database. Energies are from PBEsol.

Cell: 2.7594 2.7594 9.2141 Å, 81.39 81.39 60.00°
With the nearest neighbours (Å) after each atom.
Positions (direct):
Os (0.8748, 0.8748, 0.3757)  3 W 2.71, 9 Os 2.76
Os (0.1252, 0.1252, 0.6243)  3 W 2.71, 9 Os 2.76
W (0.3781, 0.3781, 0.8658)  3 Os 2.71, 9 W 2.76-2.91
W (0.6219, 0.6219, 0.1342)  3 Os 2.71, 9 W 2.76-2.91

Computed properties:
total magnetization	0.0	Bohr magnetons per cell
DFT formation energy	235	meV/atom
space-group type	No. 166
density of states at the Fermi level	0.79	states/eV/atom

---

# 2
Here is OsW after structural relaxation from the Alexandria database. Energies are from PBEsol.

Cell: 2.7584 4.7921 5.2628 Å, 116.98 105.19 90.00°
With the nearest neighbours (Å) after each atom.
Positions (direct):
Os (0.3696, 0.0360, 0.7392)  5 Os 2.67-2.83, 7 W 2.75-2.77
Os (0.6304, 0.9640, 0.2608)  5 Os 2.67-2.83, 7 W 2.75-2.77
W (0.8812, 0.5474, 0.7625)  5 W 2.66-2.84, 7 Os 2.75-2.77
W (0.1188, 0.4526, 0.2375)  5 W 2.66-2.84, 7 Os 2.75-2.77

Computed properties:
total magnetization	0.0	Bohr magnetons per cell
DFT formation energy	59	meV/atom
space-group type	No. 12
density of states at the Fermi level	0.58	states/eV/atom

---

# 3
Here is YOsW2 after structural relaxation from the Alexandria database. Energies are from PBEsol.

Cell: 3.1759 3.1759 6.9391 Å, 90.00 90.00 90.00°
With the nearest neighbours (Å) after each atom.
Positions (direct):
Os (0.5000, 0.5000, 0.7842)  5 W 2.70-2.98, 4 Y 2.98
W (0.0000, 0.0000, 0.9990)  4 Os 2.70, 4 W 2.70
W (0.5000, 0.5000, 0.2140)  4 W 2.70, 1 Os 2.98, 4 Y 3.01
Y (0.0000, 0.0000, 0.5027)  4 Os 2.98, 4 W 3.01, 4 Y 3.18

Computed properties:
total magnetization	0.0	Bohr magnetons per cell
DFT formation energy	248	meV/atom
space-group type	No. 99
density of states at the Fermi level	0.75	states/eV/atom

---

# 4
Here is YOsW2 after structural relaxation from the Alexandria database. Energies are from PBEsol.

Cell: 3.8443 3.8443 5.4503 Å, 110.65 110.65 90.00°
With the nearest neighbours (Å) after each atom.
Positions (direct):
Os (0.0000, 0.0000, 0.0000)  4 Y 2.72
W (0.7500, 0.2500, 0.5000)  4 W 2.72
W (0.2500, 0.7500, 0.5000)  4 W 2.72
Y (0.5000, 0.5000, 0.0000)  4 Os 2.72

Computed properties:
total magnetization	0.0	Bohr magnetons per cell
DFT formation energy	559	meV/atom
space-group type	No. 139
density of states at the Fermi level	0.89	states/eV/atom

---

# 5
Here is YOsW2 after structural relaxation from the Alexandria database. Energies are from PBEsol.

Cell: 2.8524 4.5664 5.2969 Å, 90.00 101.41 90.00°
With the nearest neighbours (Å) after each atom.
Positions (direct):
Os (0.0000, 0.5000, 0.5000)  2 Y 2.75, 4 W 2.77, 2 Os 2.85
W (0.7615, 0.0000, 0.7422)  4 W 2.70-2.85, 2 Os 2.77, 2 Y 2.83
W (0.2385, 0.0000, 0.2578)  4 W 2.70-2.85, 2 Os 2.77, 2 Y 2.83
Y (0.5000, 0.5000, 0.0000)  2 Os 2.75, 4 W 2.83, 2 Y 2.85

Computed properties:
total magnetization	0.0	Bohr magnetons per cell
DFT formation energy	416	meV/atom
space-group type	No. 10
density of states at the Fermi level	0.63	states/eV/atom

---

# 6
Here is YOsW after structural relaxation from the Alexandria database. Energies are from PBEsol.

Cell: 3.2370 4.4622 4.4622 Å, 120.00 90.00 90.00°
With the nearest neighbours (Å) after each atom.
Positions (direct):
Os (0.9010, 0.0000, 0.0000)  3 W 2.61
W (0.7669, 0.3333, 0.6667)  3 Os 2.61
Y (0.3321, 0.6667, 0.3333)  6 Os 2.93-3.17, 6 W 2.94-3.16, 2 Y 3.24

Computed properties:
total magnetization	0.0	Bohr magnetons per cell
DFT formation energy	399	meV/atom
space-group type	No. 156
density of states at the Fermi level	0.86	states/eV/atom

---

# 7
Here is Zn2OsW after structural relaxation from the Alexandria database. Energies are from PBEsol.

Cell: 3.7085 3.7085 4.9168 Å, 112.16 112.16 90.00°
With the nearest neighbours (Å) after each atom.
Positions (direct):
Os (0.5000, 0.5000, 0.0000)  4 W 2.62, 8 Zn 2.79
W (0.0000, 0.0000, 0.0000)  4 Os 2.62, 8 Zn 2.79
Zn (0.7500, 0.2500, 0.5000)  4 Zn 2.62, 4 Os 2.79, 4 W 2.79
Zn (0.2500, 0.7500, 0.5000)  4 Zn 2.62, 4 W 2.79, 4 Os 2.79

Computed properties:
total magnetization	0.0	Bohr magnetons per cell
DFT formation energy	393	meV/atom
space-group type	No. 139
density of states at the Fermi level	0.98	states/eV/atom

---

# 8
Here is Zn2OsW after structural relaxation from the Alexandria database. Energies are from PBEsol.

Cell: 2.7567 4.0359 5.1240 Å, 90.00 90.00 90.00°
With the nearest neighbours (Å) after each atom.
Positions (direct):
Os (0.5000, 0.5000, 0.0000)  2 W 2.56, 8 Zn 2.75, 2 Os 2.76
W (0.5000, 0.5000, 0.5000)  2 Os 2.56, 2 W 2.76, 8 Zn 2.77
Zn (0.0000, 0.0000, 0.7552)  4 Zn 2.51-2.76, 4 Os 2.75, 4 W 2.77
Zn (0.0000, 0.0000, 0.2448)  4 Zn 2.51-2.76, 4 Os 2.75, 4 W 2.77

Computed properties:
total magnetization	0.0	Bohr magnetons per cell
DFT formation energy	412	meV/atom
space-group type	No. 47
density of states at the Fermi level	0.87	states/eV/atom

---

# 9
Here is ZrOsW2 after structural relaxation from the Alexandria database. Energies are from PBEsol.

Cell: 3.1813 3.1813 6.4802 Å, 90.00 90.00 90.00°
With the nearest neighbours (Å) after each atom.
Positions (direct):
Os (0.5000, 0.5000, 0.7603)  5 W 2.75-3.06, 4 Zr 2.80
W (0.0000, 0.0000, 0.0045)  4 W 2.69, 4 Os 2.75
W (0.5000, 0.5000, 0.2326)  4 W 2.69, 4 Zr 2.85
Zr (0.0000, 0.0000, 0.5026)  4 Os 2.80, 4 W 2.85

Computed properties:
total magnetization	0.0	Bohr magnetons per cell
DFT formation energy	-40	meV/atom
space-group type	No. 99
density of states at the Fermi level	0.43	states/eV/atom

---

# 10
Here is ZrOsW2 after structural relaxation from the Alexandria database. Energies are from PBEsol.

Cell: 2.8065 4.5250 5.2053 Å, 90.00 100.99 90.00°
With the nearest neighbours (Å) after each atom.
Positions (direct):
Os (0.0000, 0.5000, 0.5000)  2 Zr 2.71, 4 W 2.76, 2 Os 2.81
W (0.7512, 0.0000, 0.7470)  4 W 2.69-2.81, 2 Os 2.76, 2 Zr 2.78
W (0.2488, 0.0000, 0.2530)  4 W 2.69-2.81, 2 Os 2.76, 2 Zr 2.78
Zr (0.5000, 0.5000, 0.0000)  2 Os 2.71, 4 W 2.78, 2 Zr 2.81

Computed properties:
total magnetization	0.0	Bohr magnetons per cell
DFT formation energy	78	meV/atom
space-group type	No. 10
density of states at the Fermi level	0.75	states/eV/atom

---

# 11
Here is ZrOs2W after structural relaxation from the Alexandria database. Energies are from PBEsol.

Cell: 2.7843 5.1687 5.1687 Å, 114.56 101.02 101.02°
With the nearest neighbours (Å) after each atom.
Positions (direct):
Os (0.0000, 0.5000, 0.0000)  2 W 2.69, 2 Zr 2.69, 4 Os 2.78-2.79
Os (0.0000, 0.0000, 0.5000)  2 Zr 2.69, 2 W 2.69, 4 Os 2.78-2.79
W (0.5000, 0.5000, 0.5000)  4 Os 2.69, 2 W 2.78, 2 Zr 2.79
Zr (0.5000, 0.0000, 0.0000)  4 Os 2.69, 2 Zr 2.78, 2 W 2.79

Computed properties:
total magnetization	0.0	Bohr magnetons per cell
DFT formation energy	130	meV/atom
space-group type	No. 12
density of states at the Fermi level	0.94	states/eV/atom

---

# 12
Here is ZrOs2W after structural relaxation from the Alexandria database. Energies are from PBEsol.

Cell: 3.1761 3.1761 6.4043 Å, 90.00 90.00 90.00°
With the nearest neighbours (Å) after each atom.
Positions (direct):
Os (0.0000, 0.0000, 0.9949)  4 Zr 2.70, 4 Os 2.84
Os (0.5000, 0.5000, 0.2668)  4 W 2.62, 4 Os 2.84
W (0.0000, 0.0000, 0.4774)  4 Os 2.62, 4 Zr 2.89
Zr (0.5000, 0.5000, 0.7609)  4 Os 2.70, 4 W 2.89

Computed properties:
total magnetization	0.0	Bohr magnetons per cell
DFT formation energy	193	meV/atom
space-group type	No. 99
density of states at the Fermi level	0.89	states/eV/atom

---

# 13
Here is Y2Os after structural relaxation from the Alexandria database. Energies are from PBEsol.

Cell: 4.2649 6.0142 6.5100 Å, 75.11 70.88 69.23°
With the nearest neighbours (Å) after each atom.
Positions (direct):
Y (0.9084, 0.8167, 0.3665)  3 Os 2.83-3.08
Y (0.3170, 0.2886, 0.0773)  3 Os 2.80-3.02
Y (0.6829, 0.7114, 0.9227)  3 Os 2.80-3.02
Y (0.0916, 0.1833, 0.6335)  3 Os 2.83-3.08
Os (0.3602, 0.6327, 0.6469)  1 Os 2.52, 2 Y 2.80
Os (0.6398, 0.3673, 0.3531)  1 Os 2.52, 2 Y 2.80

Computed properties:
total magnetization	0.0	Bohr magnetons per cell
DFT formation energy	-158	meV/atom
space-group type	No. 12
density of states at the Fermi level	0.88	states/eV/atom

---

# 14
Here is YOs2 after structural relaxation from the Alexandria database. Energies are from PBEsol.

Cell: 5.2644 5.2644 17.5333 Å, 90.00 90.00 120.00°
With the nearest neighbours (Å) after each atom.
Positions (direct):
Os (0.3333, 0.6667, 0.8740)  6 Os 2.67-2.68
Os (0.6667, 0.3333, 0.1260)  6 Os 2.67-2.68
Os (0.6667, 0.3333, 0.3740)  6 Os 2.67-2.68
Os (0.3333, 0.6667, 0.6260)  6 Os 2.67-2.68
Os (0.0000, 0.5000, 0.0000)  6 Os 2.63-2.68
Os (0.5000, 0.0000, 0.0000)  6 Os 2.63-2.68
Os (0.5000, 0.5000, 0.0000)  6 Os 2.63-2.68
Os (0.0000, 0.5000, 0.5000)  6 Os 2.63-2.68
Os (0.5000, 0.0000, 0.5000)  6 Os 2.63-2.68
Os (0.5000, 0.5000, 0.5000)  6 Os 2.63-2.68
Os (0.6749, 0.8374, 0.7500)  6 Os 2.57-2.70
Os (0.1626, 0.3251, 0.7500)  6 Os 2.57-2.70
Os (0.1626, 0.8374, 0.7500)  6 Os 2.57-2.70
Os (0.3251, 0.1626, 0.2500)  6 Os 2.57-2.70
Os (0.8374, 0.6749, 0.2500)  6 Os 2.57-2.70
Os (0.8374, 0.1626, 0.2500)  6 Os 2.57-2.70
Y (0.0000, 0.0000, 0.9083)  12 Os 3.08-3.15, 4 Y 3.21-3.24
Y (0.0000, 0.0000, 0.0917)  12 Os 3.08-3.15, 4 Y 3.21-3.24
Y (0.0000, 0.0000, 0.4083)  12 Os 3.08-3.15, 4 Y 3.21-3.24
Y (0.0000, 0.0000, 0.5917)  12 Os 3.08-3.15, 4 Y 3.21-3.24
Y (0.3333, 0.6667, 0.1562)  12 Os 3.09-3.13, 4 Y 3.24-3.29
Y (0.6667, 0.3333, 0.8438)  12 Os 3.09-3.13, 4 Y 3.24-3.29
Y (0.6667, 0.3333, 0.6562)  12 Os 3.09-3.13, 4 Y 3.24-3.29
Y (0.3333, 0.6667, 0.3438)  12 Os 3.09-3.13, 4 Y 3.24-3.29

Computed properties:
total magnetization	0.0	Bohr magnetons per cell
DFT formation energy	-277	meV/atom
space-group type	No. 194
density of states at the Fermi level	0.94	states/eV/atom

---

# 15
Here is YOs2 after structural relaxation from the Alexandria database. Energies are from PBEsol.

Cell: 3.5807 3.5807 4.7904 Å, 90.00 90.00 90.00°
With the nearest neighbours (Å) after each atom.
Positions (direct):
Os (0.0000, 0.5000, 0.5000)  4 Os 2.53
Os (0.5000, 0.0000, 0.5000)  4 Os 2.53
Y (0.0000, 0.0000, 0.0000)  8 Os 2.99

Computed properties:
total magnetization	0.0	Bohr magnetons per cell
DFT formation energy	444	meV/atom
space-group type	No. 123
density of states at the Fermi level	1.19	states/eV/atom

---

# 16
Here is YOs after structural relaxation from the Alexandria database. Energies are from PBEsol.

Cell: 3.0100 3.0100 8.9593 Å, 90.00 90.00 90.00°
With the nearest neighbours (Å) after each atom.
Positions (direct):
Os (0.5000, 0.0000, 0.0847)  4 Os 2.61
Os (0.0000, 0.5000, 0.9153)  4 Os 2.61
Y (0.5000, 0.0000, 0.6790)  4 Os 3.00, 4 Y 3.01
Y (0.0000, 0.5000, 0.3210)  4 Os 3.00, 4 Y 3.01

Computed properties:
total magnetization	0.0	Bohr magnetons per cell
DFT formation energy	128	meV/atom
space-group type	No. 129
density of states at the Fermi level	0.74	states/eV/atom

---

# 17
Here is Y2Os after structural relaxation from the Alexandria database. Energies are from PBEsol.

Cell: 4.1877 7.5359 7.5359 Å, 120.00 90.00 90.00°
With the nearest neighbours (Å) after each atom.
Positions (direct):
Os (0.5000, 0.0000, 0.0000)  9 Y 2.85-3.10
Os (0.0000, 0.6667, 0.3333)  9 Y 2.84-3.09
Os (0.0000, 0.3333, 0.6667)  9 Y 2.84-3.09
Y (0.0000, 0.0000, 0.2572)  4 Os 2.84-2.85
Y (0.5000, 0.0000, 0.5892)  5 Os 3.09-3.10, 6 Y 3.26-3.42
Y (0.0000, 0.7428, 0.7428)  4 Os 2.84-2.85
Y (0.0000, 0.2572, 0.0000)  4 Os 2.84-2.85
Y (0.5000, 0.4108, 0.4108)  5 Os 3.09-3.10, 6 Y 3.26-3.42
Y (0.5000, 0.5892, 0.0000)  5 Os 3.09-3.10, 6 Y 3.26-3.42

Computed properties:
total magnetization	0.0	Bohr magnetons per cell
DFT formation energy	-184	meV/atom
space-group type	No. 189
density of states at the Fermi level	0.29	states/eV/atom

---

# 18
Here is Y4Os after structural relaxation from the Alexandria database. Energies are from PBEsol.

Cell: 5.5552 5.5552 5.5552 Å, 104.61 104.61 119.71°
With the nearest neighbours (Å) after each atom.
Positions (direct):
Os (0.0000, 0.0000, 0.0000)  4 Y 2.69
Y (0.3491, 0.1856, 0.5347)  1 Os 2.69
Y (0.1856, 0.6509, 0.8364)  1 Os 2.69
Y (0.6509, 0.8144, 0.4653)  1 Os 2.69
Y (0.8144, 0.3491, 0.1636)  1 Os 2.69

Computed properties:
total magnetization	0.0	Bohr magnetons per cell
DFT formation energy	54	meV/atom
space-group type	No. 87
density of states at the Fermi level	1.26	states/eV/atom

---

# 19
Here is YOs after structural relaxation from the Alexandria database. Energies are from PBEsol.

Cell: 4.6669 4.6669 4.8349 Å, 90.00 90.00 120.00°
With the nearest neighbours (Å) after each atom.
Positions (direct):
Y (0.6667, 0.3333, 0.7500)  6 Os 2.95
Y (0.3333, 0.6667, 0.2500)  6 Os 2.95
Os (0.0000, 0.0000, 0.0000)  2 Os 2.42
Os (0.0000, 0.0000, 0.5000)  2 Os 2.42

Computed properties:
total magnetization	0.0	Bohr magnetons per cell
DFT formation energy	-121	meV/atom
space-group type	No. 194
density of states at the Fermi level	0.44	states/eV/atom

---

# 20
Here is YOs3 after structural relaxation from the Alexandria database. Energies are from PBEsol.

Cell: 2.8204 4.5142 5.2876 Å, 90.00 101.85 90.00°
With the nearest neighbours (Å) after each atom.
Positions (direct):
Os (0.6690, 0.0000, 0.7825)  6 Os 2.62-2.82
Os (0.3310, 0.0000, 0.2175)  6 Os 2.62-2.82
Os (0.5000, 0.5000, 0.0000)  6 Os 2.62-2.82, 2 Y 2.73
Y (0.0000, 0.5000, 0.5000)  6 Os 2.73-2.96, 2 Y 2.82

Computed properties:
total magnetization	0.0	Bohr magnetons per cell
DFT formation energy	465	meV/atom
space-group type	No. 10
density of states at the Fermi level	1.32	states/eV/atom